Compound: TiAgB2C
Source: Alexandria
Functional: PBE
Structure: optimized geometry

a = 3.6931 Å, b = 3.6931 Å, c = 3.9974 Å
α = 90.00°, β = 90.00°, γ = 90.00°
With the nearest neighbours (Å) after each atom.
Element x y z (fractional)
Ti1 0.0000 0.0000 0.0000  2 C 2.00
Ag1 0.5000 0.5000 0.0000  4 Ti 2.61, 8 B 2.72
B1 0.0000 0.5000 0.5000  2 C 1.85
B2 0.5000 0.0000 0.5000  2 C 1.85
C1 0.0000 0.0000 0.5000  4 B 1.85, 2 Ti 2.00

**Uncorrected energy**: -28.14 eV for the cell shown